# 1
Material: Sr2SiPtI
Method: DFT, PBE
State: relaxed

Values from the calculation:
Formation energy (no corrections) = -4.65 eV per formula unit
Total magnetic moment = 0.00 μB/atom

```
data_Sr2SiPtI
_symmetry_space_group_name_H-M 'P 4/m m m'
_symmetry_Int_Tables_number 123
_symmetry_space_group_name_Hall '-P 4 2'
_cell_length_a 6.068
_cell_length_b 6.068
_cell_length_c 4.530
_cell_angle_alpha 90.00
_cell_angle_beta 90.00
_cell_angle_gamma 90.00
loop_
_atom_site_label
_atom_site_fract_x
_atom_site_fract_y
_atom_site_fract_z
_atom_site_occupancy
Sr1 0.000 0.500 0.000 1
Si1 0.000 0.000 0.500 1
Pt1 0.000 0.000 0.000 1
I1 0.500 0.500 0.500 1
```

---

# 2
Material: CdCu2As
Method: DFT, PBE
State: relaxed

Values from the calculation:
Energy of formation = 0.1726 eV/atom
Total magnetic moment = 0.00 μB/atom

```
data_CdCu2As
_symmetry_space_group_name_H-M 'I 4/m m m'
_symmetry_Int_Tables_number 139
_symmetry_space_group_name_Hall '-I 4 2'
_cell_length_a 4.022
_cell_length_b 4.022
_cell_length_c 7.927
_cell_angle_alpha 90.00
_cell_angle_beta 90.00
_cell_angle_gamma 90.00
loop_
_atom_site_label
_atom_site_fract_x
_atom_site_fract_y
_atom_site_fract_z
_atom_site_occupancy
Cd1 0.000 0.000 0.000 1
Cu1 0.000 0.500 0.250 1
As1 0.000 0.000 0.500 1
```

---

# 3
Material: NaGa4Pd2Pt
Method: DFT, PBE
State: relaxed

Values from the calculation:
Energy of formation = -0.3918 eV/atom
Total magnetic moment = 0.00 μB/atom

```
data_NaGa4Pd2Pt
_symmetry_space_group_name_H-M 'R -3 m'
_symmetry_Int_Tables_number 166
_symmetry_space_group_name_Hall '-R 3 2"'
_cell_length_a 4.4795
_cell_length_b 4.4795
_cell_length_c 22.2882
_cell_angle_alpha 90.00
_cell_angle_beta 90.00
_cell_angle_gamma 120.00
loop_
_atom_site_label
_atom_site_fract_x
_atom_site_fract_y
_atom_site_fract_z
_atom_site_occupancy
Na1 0.0000 0.0000 0.0000 1
Ga1 0.0000 0.0000 0.1318 1
Ga2 0.0000 0.0000 0.3816 1
Pd1 0.0000 0.0000 0.2559 1
Pt1 0.0000 0.0000 0.5000 1
```

---

# 4
Material: Y5Au
Method: DFT, PBE
State: relaxed

Values from the calculation:
Energy of formation = -0.2589 eV/atom
Total magnetic moment = 0.00 μB/atom

```
data_Y5Au
_symmetry_space_group_name_H-M 'C 1 2/m 1'
_symmetry_Int_Tables_number 12
_cell_length_a 12.204
_cell_length_b 3.705
_cell_length_c 8.443
_cell_angle_alpha 90.00
_cell_angle_beta 111.86
_cell_angle_gamma 90.00
loop_
_symmetry_equiv_pos_as_xyz
'x,y,z'
'-x,-y,-z'
'-x,y,-z'
'x,-y,z'
'x+1/2,y+1/2,z'
'-x+1/2,-y+1/2,-z'
'-x+1/2,y+1/2,-z'
'x+1/2,-y+1/2,z'
loop_
_atom_site_label
_atom_site_fract_x
_atom_site_fract_y
_atom_site_fract_z
_atom_site_occupancy
Y1 0.000 0.000 0.000 1
Y2 0.140 0.500 0.363 1
Y3 0.169 0.500 0.801 1
Au1 0.000 0.000 0.500 1
```

---

# 5
Material: K3Ce2AlS6
Method: DFT, PBE
State: relaxed

Values from the calculation:
Formation energy (no corrections) = -18.10 eV per formula unit
Total magnetic moment = 0.17 μB/atom

```
data_K3Ce2AlS6
_symmetry_space_group_name_H-M 'C 1 2/m 1'
_symmetry_Int_Tables_number 12
_cell_length_a 7.016
_cell_length_b 12.162
_cell_length_c 7.702
_cell_angle_alpha 90.00
_cell_angle_beta 107.82
_cell_angle_gamma 90.00
loop_
_symmetry_equiv_pos_as_xyz
'x,y,z'
'-x,-y,-z'
'-x,y,-z'
'x,-y,z'
'x+1/2,y+1/2,z'
'-x+1/2,-y+1/2,-z'
'-x+1/2,y+1/2,-z'
'x+1/2,-y+1/2,z'
loop_
_atom_site_label
_atom_site_fract_x
_atom_site_fract_y
_atom_site_fract_z
_atom_site_occupancy
K1 0.000 0.000 0.000 1
K2 0.000 0.331 0.000 1
Ce1 0.000 0.166 0.500 1
Al1 0.000 0.500 0.500 1
S1 0.216 0.349 0.695 1
S2 0.235 0.500 0.306 1
```

---

# 6
Material: Nd6HoHg5
Method: DFT, PBE
State: relaxed

Values from the calculation:
Energy of formation = -0.3489 eV/atom
Total magnetic moment = 0.00 μB/atom

```
data_Nd6HoHg5
_symmetry_space_group_name_H-M 'I m m m'
_symmetry_Int_Tables_number 71
_symmetry_space_group_name_Hall '-I 2 2'
_cell_length_a 5.368
_cell_length_b 7.866
_cell_length_c 16.410
_cell_angle_alpha 90.00
_cell_angle_beta 90.00
_cell_angle_gamma 90.00
loop_
_atom_site_label
_atom_site_fract_x
_atom_site_fract_y
_atom_site_fract_z
_atom_site_occupancy
Nd1 0.000 0.228 0.000 1
Nd2 0.000 0.255 0.328 1
Ho1 0.000 0.000 0.500 1
Hg1 0.000 0.000 0.170 1
Hg2 0.000 0.500 0.148 1
Hg3 0.000 0.500 0.500 1
```

---

# 7
Material: LiCa4Tl3
Method: DFT, PBE
State: relaxed

Values from the calculation:
Energy of formation = -0.3695 eV/atom
Total magnetic moment = 0.00 μB/atom

```
data_LiCa4Tl3
_symmetry_space_group_name_H-M 'R -3 m'
_symmetry_Int_Tables_number 166
_symmetry_space_group_name_Hall '-R 3 2"'
_cell_length_a 5.4877
_cell_length_b 5.4877
_cell_length_c 26.8838
_cell_angle_alpha 90.00
_cell_angle_beta 90.00
_cell_angle_gamma 120.00
loop_
_atom_site_label
_atom_site_fract_x
_atom_site_fract_y
_atom_site_fract_z
_atom_site_occupancy
Li1 0.0000 0.0000 0.0000 1
Ca1 0.0000 0.0000 0.1264 1
Ca2 0.0000 0.0000 0.3769 1
Tl1 0.0000 0.0000 0.2551 1
Tl2 0.0000 0.0000 0.5000 1
```

---

# 8
Material: CaTa2Fe
Method: DFT, PBE
State: relaxed

Values from the calculation:
Energy of formation = 0.7047 eV/atom
Total magnetic moment = 0.43 μB/atom

```
data_CaTa2Fe
_symmetry_space_group_name_H-M 'P m m m'
_symmetry_Int_Tables_number 47
_cell_length_a 3.213
_cell_length_b 4.625
_cell_length_c 5.074
_cell_angle_alpha 90.00
_cell_angle_beta 90.00
_cell_angle_gamma 90.00
loop_
_symmetry_equiv_pos_as_xyz
'x,y,z'
'-x,-y,-z'
'-x,-y,z'
'x,y,-z'
'x,-y,-z'
'-x,y,z'
'-x,y,-z'
'x,-y,z'
loop_
_atom_site_label
_atom_site_fract_x
_atom_site_fract_y
_atom_site_fract_z
_atom_site_occupancy
Ca1 0.000 0.000 0.000 1
Ta1 0.000 0.500 0.500 1
Ta2 0.500 0.000 0.500 1
Fe1 0.500 0.500 0.000 1
```

---

# 9
Material: PrY2Te4
Method: DFT, PBE
State: relaxed

Values from the calculation:
Formation energy (no corrections) = -10.16 eV per formula unit
Total magnetic moment = 0.00 μB/atom

```
data_PrY2Te4
_symmetry_space_group_name_H-M 'I m m a'
_symmetry_Int_Tables_number 74
_symmetry_space_group_name_Hall '-I 2b 2'
_cell_length_a 8.802
_cell_length_b 8.940
_cell_length_c 12.360
_cell_angle_alpha 90.00
_cell_angle_beta 90.00
_cell_angle_gamma 90.00
loop_
_atom_site_label
_atom_site_fract_x
_atom_site_fract_y
_atom_site_fract_z
_atom_site_occupancy
Pr1 0.000 0.000 0.000 1
Y1 0.000 0.000 0.500 1
Y2 0.250 0.250 0.250 1
Te1 0.000 0.004 0.254 1
Te2 0.242 0.250 0.505 1
```

---

# 10
Material: BPIrC2
Method: DFT, PBE
State: relaxed

Values from the calculation:
Energy of formation = 0.4380 eV/atom
Total magnetic moment = 0.00 μB/atom

```
data_BPIrC2
_symmetry_space_group_name_H-M 'P 1'
_symmetry_Int_Tables_number 1
_cell_length_a 2.780
_cell_length_b 3.916
_cell_length_c 4.921
_cell_angle_alpha 79.46
_cell_angle_beta 85.30
_cell_angle_gamma 74.47
loop_
_symmetry_equiv_pos_as_xyz
'x,y,z'
loop_
_atom_site_label
_atom_site_fract_x
_atom_site_fract_y
_atom_site_fract_z
_atom_site_occupancy
B1 0.000 0.000 0.000 1
P1 0.412 0.345 0.301 1
Ir1 0.645 0.610 0.854 1
C1 0.022 0.029 0.327 1
C2 0.162 0.682 0.527 1
```

---

# 11
Material: Ac2SmEr
Method: DFT, PBE
State: relaxed

Values from the calculation:
Energy of formation = 0.1018 eV/atom
Total magnetic moment = 0.00 μB/atom

```
data_Ac2SmEr
_symmetry_space_group_name_H-M 'F m -3 m'
_symmetry_Int_Tables_number 225
_symmetry_space_group_name_Hall '-F 4 2 3'
_cell_length_a 8.495
_cell_length_b 8.495
_cell_length_c 8.495
_cell_angle_alpha 90.00
_cell_angle_beta 90.00
_cell_angle_gamma 90.00
loop_
_atom_site_label
_atom_site_fract_x
_atom_site_fract_y
_atom_site_fract_z
_atom_site_occupancy
Ac1 0.250 0.250 0.250 1
Sm1 0.000 0.000 0.000 1
Er1 0.000 0.000 0.500 1
```

---

# 12
Material: Cu2TcIr
Method: DFT, PBE
State: relaxed

Values from the calculation:
Energy of formation = 0.2601 eV/atom
Total magnetic moment = 0.00 μB/atom

```
data_Cu2TcIr
_symmetry_space_group_name_H-M 'P m m m'
_symmetry_Int_Tables_number 47
_cell_length_a 2.709
_cell_length_b 4.504
_cell_length_c 4.508
_cell_angle_alpha 90.00
_cell_angle_beta 90.00
_cell_angle_gamma 90.00
loop_
_symmetry_equiv_pos_as_xyz
'x,y,z'
'-x,-y,-z'
'-x,-y,z'
'x,y,-z'
'x,-y,-z'
'-x,y,z'
'-x,y,-z'
'x,-y,z'
loop_
_atom_site_label
_atom_site_fract_x
_atom_site_fract_y
_atom_site_fract_z
_atom_site_occupancy
Cu1 0.000 0.000 0.000 1
Cu2 0.500 0.000 0.500 1
Tc1 0.000 0.500 0.500 1
Ir1 0.500 0.500 0.000 1
```